PBE NdSm6Dy2Tm, optimized geometry; crystal system = monoclinic; energy of formation = 113 kJ/mol of formula units; SG = C2/c (15)
1.0
9.172 -1.976 -2.050
0.829 8.626 -2.011
0.829 -2.329 8.546
Sm Nd Tm Dy
12 2 2 4
Cartesian
5.821 5.149 -1.629
1.235 -0.831 6.111
5.009 -0.828 6.114
2.185 4.472 -1.424
2.073 4.736 2.515
8.645 -0.151 5.908
8.757 -0.415 1.969
4.059 6.897 1.094
9.595 5.152 -1.626
4.171 2.971 0.683
6.659 1.350 3.801
6.771 -2.576 3.391
7.708 -3.523 6.730
3.122 7.844 -2.246
7.708 2.641 0.791
3.122 1.680 3.693
5.394 4.363 3.417
9.979 2.265 3.461
5.436 -0.042 1.067
0.850 2.056 1.023